The following is a DFT calculation (PBE) of a geometry-optimized LiZrAl2Au2 structure.

The space group is P-3m1 (No. 164) and the conventional cell measures 4.4379, 4.4379 and 6.0921 Å, with angles of 90.00, 90.00 and 120.00 degrees. The inequivalent atoms are Li at (0.0000, 0.0000, 0.0000), Zr at (0.0000, 0.0000, 0.5000), Al at (0.3333, 0.6667, 0.7938) and Au at (0.3333, 0.6667, 0.2482).

As for the total moment: 0.0 μB/cell. The value obtained for the calculated volume is 104 Å³ per cell. The calculation puts the density of states at the Fermi level at 3.31 states/eV/cell. For the calculated formation energy, the calculation gives -0.563 eV per atom.